[1]
DFT (PBE) results for a relaxed structure of K4Y3MnS8.

Calculated values
formation energy (no corrections): -1.578 eV per atom
volume: 1207.2 Å³ per cell

a b c (Å): 7.9495 7.9495 22.0551
angles (deg): 90.00 90.00 120.00
Space group R-3m (No. 166, hexagonal axes)
Asymmetric unit:
K  0.0000  0.0000  0.0000
K  0.0000  0.5000  0.0000
Y  0.0000  0.5000  0.5000
Mn  0.0000  0.0000  0.5000
S  0.0000  0.0000  0.2350
S  0.0187  0.5093  0.2315

---

[2]
DFT (PBE) results for a relaxed structure of KYMnS3.

Calculated values
formation energy (no corrections): -1.410 eV per atom
volume: 323.9 Å³ per cell

a b c (Å): 8.7349 4.0730 9.5104
angles (deg): 90.00 106.78 90.00
Space group P2_1/m (No. 11)
Asymmetric unit:
K  0.2031  0.2500  0.2264
Y  0.3351  0.7500  0.8588
Mn  0.0872  0.2500  0.6102
S  0.1171  0.2500  0.8604
S  0.1992  0.7500  0.5384
S  0.4594  0.7500  0.1542

---

[3]
DFT (PBE) results for a relaxed structure of K2MnZn2S4.

Calculated values
formation energy (no corrections): -0.880 eV per atom
volume: 408.2 Å³ per cell

a b c (Å): 15.1699 3.8282 7.3867
angles (deg): 90.00 107.91 90.00
Space group C2/m (No. 12)
Asymmetric unit:
K  0.1234  0.0000  0.0362
Mn  0.0000  0.0000  0.5000
Zn  0.1698  0.5000  0.4870
S  0.0207  0.5000  0.2833
S  0.2118  0.0000  0.6843

---

[4]
DFT (PBE) results for a relaxed structure of KZrMnS3.

Calculated values
formation energy (no corrections): -1.200 eV per atom
volume: 266.3 Å³ per cell

a b c (Å): 8.7772 3.5915 9.1796
angles (deg): 90.00 113.02 90.00
Space group P2_1/m (No. 11)
Asymmetric unit:
K  0.2077  0.2500  0.2328
Zr  0.3208  0.7500  0.8376
Mn  0.0819  0.2500  0.5937
S  0.1187  0.2500  0.8540
S  0.1940  0.7500  0.5233
S  0.4580  0.7500  0.1499

---

[5]
DFT (PBE) results for a relaxed structure of K2ZrMnS4.

Calculated values
formation energy (no corrections): -1.196 eV per atom
volume: 478.0 Å³ per cell

a b c (Å): 7.0020 7.0020 9.7492
angles (deg): 90.00 90.00 90.00
Space group I-4 (No. 82)
Asymmetric unit:
K  0.0000  0.0000  0.0000
K  0.0000  0.5000  0.2500
Zr  0.0000  0.5000  0.7500
Mn  0.0000  0.0000  0.5000
S  0.1603  0.7469  0.6185

---

[6]
DFT (PBE) results for a relaxed structure of K3Zr2MnS6.

Calculated values
formation energy (no corrections): -1.315 eV per atom
volume: 553.5 Å³ per cell

a b c (Å): 6.5945 11.4207 7.6697
angles (deg): 90.00 106.64 90.00
Space group C2/m (No. 12)
Asymmetric unit:
K  0.0000  0.0000  0.0000
K  0.0000  0.3348  0.0000
Zr  0.0000  0.1668  0.5000
Mn  0.0000  0.5000  0.5000
S  0.2298  0.0000  0.6954
S  0.2330  0.3323  0.6958

---

[7]
DFT (PBE) results for a relaxed structure of KZrMnS4.

Calculated values
formation energy (no corrections): -1.074 eV per atom
volume: 332.6 Å³ per cell

a b c (Å): 6.2640 6.3280 8.9599
angles (deg): 90.00 110.54 90.00
Space group P2_1/m (No. 11)
Asymmetric unit:
K  0.2347  0.2500  0.4515
Zr  0.2702  0.2500  0.9458
Mn  0.2670  0.7500  0.1601
S  0.0236  0.7500  0.9116
S  0.0655  0.7500  0.3234
S  0.4736  0.5077  0.8086

---

[8]
DFT (PBE) results for a relaxed structure of K2MnSb.

Calculated values
formation energy (no corrections): 0.277 eV per atom
volume: 240.6 Å³ per cell

a b c (Å): 4.6699 4.6699 11.0312
angles (deg): 90.00 90.00 90.00
Space group I4/mmm (No. 139)
Asymmetric unit:
K  0.0000  0.5000  0.2500
Mn  0.0000  0.0000  0.0000
Sb  0.0000  0.0000  0.5000

---

[9]
DFT (PBE) results for a relaxed structure of KMn2Sb.

Calculated values
formation energy (no corrections): 0.317 eV per atom
volume: 333.3 Å³ per cell

a b c (Å): 4.5742 4.5742 18.3910
angles (deg): 90.00 90.00 120.00
Space group R-3m (No. 166, hexagonal axes)
Asymmetric unit:
K  0.0000  0.0000  0.0000
Mn  0.0000  0.0000  0.1883
Sb  0.0000  0.0000  0.5000

---

[10]
DFT (PBE) results for a relaxed structure of KMn4Sb12.

Calculated values
formation energy (no corrections): -0.048 eV per atom
volume: 828.2 Å³ per cell

a b c (Å): 9.3909 9.3909 9.3909
angles (deg): 90.00 90.00 90.00
Space group Im-3 (No. 204)
Asymmetric unit:
K  0.0000  0.0000  0.0000
Mn  0.2500  0.2500  0.2500
Sb  0.0000  0.3387  0.1590

---

[11]
DFT (PBE) results for a relaxed structure of KMn2Sb.

Calculated values
formation energy (no corrections): 0.400 eV per atom
volume: 101.7 Å³ per cell

a b c (Å): 3.1139 4.3733 7.6267
angles (deg): 90.00 101.62 90.00
Space group Pm (No. 6)
Asymmetric unit:
K  0.0000  0.0000  0.0000
Mn  0.2364  0.0000  0.4671
Mn  0.6839  0.5000  0.3607
Sb  0.3430  0.5000  0.6807

---

[12]
DFT (PBE) results for a relaxed structure of K2MnSb.

Calculated values
formation energy (no corrections): 0.345 eV per atom
volume: 128.0 Å³ per cell

a b c (Å): 3.7755 5.4588 6.2106
angles (deg): 90.00 90.86 90.00
Space group P2/m (No. 10)
Asymmetric unit:
K  0.0003  0.0000  0.2434
Mn  0.5000  0.5000  0.5000
Sb  0.5000  0.5000  0.0000

---

[13]
DFT (PBE) results for a relaxed structure of K2MnSb.

Calculated values
formation energy (no corrections): 0.051 eV per atom
volume: 308.1 Å³ per cell

a b c (Å): 4.8727 6.1824 10.2284
angles (deg): 90.00 90.00 90.00
Space group Imm2 (No. 44)
Asymmetric unit:
K  0.0000  0.0000  0.0000
K  0.0000  0.5000  0.1880
Mn  0.0000  0.5000  0.8103
Sb  0.0000  0.0000  0.3905

---

[14]
DFT (PBE) results for a relaxed structure of K2MnSb.

Calculated values
formation energy (no corrections): 0.359 eV per atom
volume: 257.0 Å³ per cell

a b c (Å): 6.2738 10.7006 3.8283
angles (deg): 90.00 90.21 90.00
Space group C2/m (No. 12)
Asymmetric unit:
K  0.2500  0.2500  0.0000
Mn  0.0000  0.0000  0.5000
Sb  0.0000  0.5000  0.5000

---

[15]
DFT (PBE) results for a relaxed structure of KMn2Sb.

Calculated values
formation energy (no corrections): 0.644 eV per atom
volume: 207.4 Å³ per cell

a b c (Å): 3.1256 5.8043 11.4337
angles (deg): 90.00 90.00 90.00
Space group Immm (No. 71)
Asymmetric unit:
K  0.0000  0.0000  0.0000
Mn  0.0000  0.5000  0.2087
Sb  0.0000  0.0000  0.5000

---

[16]
DFT (PBE) results for a relaxed structure of K2MnSb.

Calculated values
formation energy (no corrections): 0.034 eV per atom
volume: 330.2 Å³ per cell

a b c (Å): 4.9271 5.7233 11.7107
angles (deg): 90.00 90.00 90.00
Space group Amm2 (No. 38)
Asymmetric unit:
K  0.0000  0.0000  0.0000
K  0.5000  0.0000  0.2997
Mn  0.0000  0.0000  0.6770
Sb  0.5000  0.0000  0.6111

---

[17]
DFT (PBE) results for a relaxed structure of KMn3Sb.

Calculated values
energy relative to the lowest polymorph listed for this composition: 0.00 eV/f.u.
formation energy (no corrections): 0.900 eV per atom
volume: 138.7 Å³ per cell

a b c (Å): 5.1760 5.1760 5.1760
angles (deg): 90.00 90.00 90.00
Space group Pm-3m (No. 221)
Asymmetric unit:
K  0.0000  0.0000  0.0000
Mn  0.0000  0.5000  0.5000
Sb  0.5000  0.5000  0.5000

---

[18]
DFT (PBE) results for a relaxed structure of K2MnSb.

Calculated values
formation energy (no corrections): 0.172 eV per atom
volume: 898.2 Å³ per cell

a b c (Å): 13.3508 13.3508 5.0389
angles (deg): 90.00 90.00 90.00
Space group I-42d (No. 122)
Asymmetric unit:
K  0.0028  0.2500  0.1250
Mn  0.0000  0.0000  0.0000
Sb  0.0000  0.0000  0.5000

---

[19]
DFT (PBE) results for a relaxed structure of KMn2Sb.

Calculated values
formation energy (no corrections): 0.592 eV per atom
volume: 194.0 Å³ per cell

a b c (Å): 3.1051 5.6813 10.9984
angles (deg): 90.00 90.00 90.00
Space group Imm2 (No. 44)
Asymmetric unit:
K  0.0000  0.0000  0.0000
Mn  0.0000  0.0000  0.5064
Mn  0.0000  0.5000  0.8070
Sb  0.0000  0.5000  0.2154

---

[20]
DFT (PBE) results for a relaxed structure of K2MnSb.

Calculated values
formation energy (no corrections): 0.269 eV per atom
volume: 121.0 Å³ per cell

a b c (Å): 4.6629 4.6848 5.5372
angles (deg): 90.00 90.00 90.00
Space group Pmmm (No. 47)
Asymmetric unit:
K  0.0000  0.0000  0.0000
K  0.5000  0.5000  0.0000
Mn  0.0000  0.5000  0.5000
Sb  0.5000  0.0000  0.5000